Ti3Mn2O8: optimized geometry, PBE+U.

Computed properties:
Theoretical density ... 4182 kg/m3
Total moment ... 10.0 μB per formula unit
Total energy ... -8.65 eV per atom
Space-group type ... C2/m (12)

Lattice parameters (Å, degrees): 5.0312 6.1365 6.1365 58.88 71.86 71.86
Closest atoms and distances in Å follow each position.
Element x y z (fractional)
Ti 0.5000 0.0000 0.0000  6 O 1.97-1.98
Ti 0.0000 0.7333 0.2667  6 O 1.91-2.09
Ti 0.0000 0.2667 0.7333  6 O 1.91-2.09
Mn 0.3445 0.7221 0.7221  6 O 2.17-2.33
Mn 0.6555 0.2779 0.2779  6 O 2.17-2.33
O 0.9292 0.3957 0.3957  2 Ti 1.91
O 0.0708 0.6043 0.6043  2 Ti 1.91
O 0.9121 0.8956 0.8956  3 Ti 1.97-2.09
O 0.0879 0.1044 0.1044  3 Ti 1.97-2.09
O 0.5986 0.3359 0.8871  2 Ti 1.96-1.98, 1 Mn 2.17
O 0.5986 0.8871 0.3359  2 Ti 1.96-1.98, 1 Mn 2.17
O 0.4014 0.1129 0.6641  2 Ti 1.96-1.98, 1 Mn 2.17
O 0.4014 0.6641 0.1129  2 Ti 1.96-1.98, 1 Mn 2.17